1.
## Na2YHgF8 (PBE)

Data for a geometry-optimized Na2YHgF8 structure.

## Properties
ΔE_f (raw) ... -32.03 eV/f.u.
Crystal system ... triclinic

POSCAR file:
```
Na2YHgF8
1.0
3.867 -0.113 -0.002
-0.078 5.540 -0.154
0.000 -0.201 7.889
F Na Y Hg
8 2 1 1
Direct
0.981 0.260 0.724
0.440 0.242 0.989
0.560 0.758 0.011
0.498 0.227 0.475
0.967 0.210 0.239
0.033 0.790 0.761
0.019 0.740 0.276
0.502 0.773 0.525
0.500 0.505 0.254
0.500 0.495 0.746
0.000 0.000 0.500
0.000 0.000 0.000
```

---

2.
## LaNd3Ho5 (PBE)

Data for a geometry-optimized LaNd3Ho5 structure.

## Properties
ΔE_f ... 29.7 kJ/mol of atoms
Crystal system ... monoclinic

POSCAR file:
```
LaNd3Ho5
1.0
-2.722 -0.312 -5.411
9.315 -3.904 -1.062
-7.331 -7.647 4.129
Nd La Ho
6 2 10
Direct
0.596 0.641 0.638
0.000 0.000 0.500
0.404 0.359 0.362
0.000 0.000 0.000
0.045 0.641 0.138
0.955 0.359 0.862
0.123 0.000 0.250
0.877 0.000 0.750
0.091 0.659 0.469
0.431 0.341 0.031
0.569 0.659 0.969
0.389 0.000 0.750
0.579 0.676 0.303
0.903 0.324 0.197
0.097 0.676 0.803
0.909 0.341 0.531
0.611 0.000 0.250
0.421 0.324 0.697
```

---

3.
## LaCrBr2 (PBE)

Data for a geometry-optimized LaCrBr2 structure.

## Properties
ΔE_f (raw) ... -2.21 eV/f.u.
Crystal system ... orthorhombic

POSCAR file:
```
LaCrBr2
1.0
-1.138 -6.239 -3.382
0.696 -6.837 2.105
-2.633 6.580 1.197
La Br Cr
1 2 1
Direct
0.690 0.190 0.500
0.288 0.788 0.500
0.020 0.020 0.000
0.502 0.502 0.000
```

---

4.
## ZrZnTc (PBE)

Data for a geometry-optimized ZrZnTc structure.

## Properties
ΔE_f ... -7.0 kJ/mol of atoms
Crystal system ... trigonal

POSCAR file:
```
ZrZnTc
1.0
4.628 0.000 0.000
-2.314 4.008 0.000
0.000 0.000 2.740
Tc Zr Zn
1 1 1
Direct
0.000 0.000 0.020
0.333 0.667 0.703
0.667 0.333 0.277
```

---

5.
## AgSnP3 (PBE)

Data for a geometry-optimized AgSnP3 structure.

## Properties
ΔE_f ... 98.6 kJ/mol of atoms
Crystal system ... cubic

POSCAR file:
```
AgSnP3
1.0
4.863 0.000 0.000
0.000 4.863 0.000
0.000 0.000 4.863
P Sn Ag
3 1 1
Direct
0.500 0.000 0.000
0.000 0.000 0.500
0.000 0.500 0.000
0.500 0.500 0.500
0.000 0.000 0.000
```

---

6.
## Tb4Er10Pu (PBE)

Data for a geometry-optimized Tb4Er10Pu structure.

## Properties
ΔE_f ... 38.3 kJ/mol of atoms
Crystal system ... tetragonal

POSCAR file:
```
Tb4Er10Pu
1.0
9.444 0.000 4.265
4.722 6.818 2.132
1.916 0.000 8.346
Er Tb Pu
10 4 1
Direct
0.226 0.325 0.901
0.750 0.500 0.500
0.449 0.099 0.325
0.453 0.675 0.099
0.250 0.500 0.500
0.547 0.325 0.901
0.774 0.675 0.099
0.128 0.099 0.325
0.872 0.901 0.675
0.551 0.901 0.675
0.933 0.395 0.739
0.672 0.261 0.395
0.328 0.739 0.605
0.067 0.605 0.261
0.000 0.000 0.000
```

---

7.
## BeAl2Pt2 (PBE)

Data for a geometry-optimized BeAl2Pt2 structure.

## Properties
ΔE_f ... -64.3 kJ/mol of atoms
Crystal system ... tetragonal

POSCAR file:
```
BeAl2Pt2
1.0
6.200 0.000 0.000
0.000 6.200 0.000
0.000 0.000 3.864
Al Pt Be
4 4 2
Direct
0.845 0.345 0.500
0.155 0.655 0.500
0.345 0.155 0.500
0.655 0.845 0.500
0.661 0.161 0.000
0.839 0.661 0.000
0.339 0.839 0.000
0.161 0.339 0.000
0.000 0.000 0.000
0.500 0.500 0.000
```

---

8.
## YBe4Au8 (PBE)

Data for a geometry-optimized YBe4Au8 structure.

## Properties
ΔE_f ... 4.2 kJ/mol of atoms
Crystal system ... trigonal

POSCAR file:
```
YBe4Au8
1.0
-6.890 1.102 -4.530
-6.880 -4.250 -1.953
-8.206 0.581 1.238
Au Be Y
8 4 1
Direct
0.733 0.733 0.219
0.270 0.270 0.270
0.733 0.219 0.733
0.267 0.781 0.267
0.267 0.267 0.781
0.730 0.730 0.730
0.781 0.267 0.267
0.219 0.733 0.733
0.000 0.500 0.500
0.500 0.000 0.500
0.500 0.500 0.500
0.500 0.500 0.000
0.000 0.000 0.000
```

---

no.,E (eV per atom)
1,-4.700
2,-4.372
3,-5.026
4,-6.802
5,-3.595
6,-4.836
7,-5.325
8,-3.617